VASP calculation (PBE with a Hubbard U) on crystalline Tl2CrPt3O12 at its relaxed geometry.

Unit cell a=7.148 b=7.148 c=7.148 alpha=60.01 beta=60.01 gamma=60.01
Positions (direct):
Tl 0.182 0.182 0.182
Tl 0.818 0.818 0.818
Cr 0.500 0.500 0.500
Pt 0.000 0.500 0.500
Pt 0.500 0.000 0.500
Pt 0.500 0.500 0.000
O 0.164 0.164 0.558
O 0.164 0.558 0.164
O 0.189 0.568 0.568
O 0.432 0.432 0.811
O 0.432 0.811 0.432
O 0.442 0.836 0.836
O 0.558 0.164 0.164
O 0.568 0.189 0.568
O 0.568 0.568 0.189
O 0.811 0.432 0.432
O 0.836 0.442 0.836
O 0.836 0.836 0.442

DOS at the Fermi energy = 10.06 states/eV per cell
DFT total energy = -99.27 eV per cell
Volume = 14.35 Å³ per atom
Symmetry = No. 166